# 1
A relaxed structure of Mn2TePbI, computed with PBE.

a b c (Å): 4.963 4.963 6.359
angles (deg): 90.00 90.00 90.00
Positions (direct):
Mn1 0.000 0.500 0.000
Mn2 0.500 0.000 0.000
Te1 0.000 0.000 0.500
Pb1 0.500 0.500 0.500
I1 0.500 0.500 0.000

Properties
Size of the total moment ... 7.17 Bohr magnetons per cell
E ... -4.4252 eV per atom
Formation energy without anion corrections ... 4.613 eV per formula unit
Crystal system ... tetragonal
SG ... P4/mmm (123)
DOS(E_F) ... 5.538 states/eV per cell

---

# 2
A relaxed structure of MnTePbI2, computed with PBE.

a b c (Å): 5.688 5.688 5.499
angles (deg): 90.00 90.00 90.00
Positions (direct):
Mn1 0.000 0.000 0.000
Te1 0.000 0.000 0.500
Pb1 0.500 0.500 0.500
I1 0.000 0.500 0.000
I2 0.500 0.000 0.000

Properties
Size of the total moment ... 0.15 Bohr magnetons per cell
E ... -3.4178 eV per atom
Formation energy without anion corrections ... 2.031 eV per formula unit
Energy relative to the lowest polymorph listed for this composition ... 0.000 eV per atom
Crystal system ... tetragonal
SG ... P4/mmm (123)
DOS(E_F) ... 13.728 states/eV per cell

---

# 3
A relaxed structure of MnTlPbI5, computed with PBE.

a b c (Å): 8.574 8.574 11.477
angles (deg): 104.49 104.49 105.46
Positions (direct):
Mn1 0.183 0.817 0.750
Mn2 0.817 0.183 0.250
Tl1 0.144 0.856 0.250
Tl2 0.856 0.144 0.750
Pb1 0.500 0.500 0.000
Pb2 0.500 0.500 0.500
I1 0.107 0.238 0.441
I2 0.157 0.577 0.864
I3 0.238 0.107 0.941
I4 0.399 0.601 0.250
I5 0.423 0.843 0.636
I6 0.577 0.157 0.364
I7 0.601 0.399 0.750
I8 0.762 0.893 0.059
I9 0.843 0.423 0.136
I10 0.893 0.762 0.559

Properties
Size of the total moment ... 9.96 Bohr magnetons per cell
E ... -3.4229 eV per atom
Formation energy without anion corrections ... -4.388 eV per formula unit
Crystal system ... monoclinic
SG ... C2/c (15)
DOS(E_F) ... 0.000 states/eV per cell

---

# 4
A relaxed structure of MnTl2PbI6, computed with PBE.

a b c (Å): 8.517 8.517 8.517
angles (deg): 58.77 58.77 58.77
Positions (direct):
Mn1 0.000 0.000 0.000
Tl1 0.210 0.210 0.210
Tl2 0.706 0.706 0.706
Pb1 0.499 0.499 0.499
I1 0.143 0.778 0.332
I2 0.243 0.675 0.859
I3 0.332 0.143 0.778
I4 0.675 0.859 0.243
I5 0.778 0.332 0.143
I6 0.859 0.243 0.675

Properties
Size of the total moment ... 5.00 Bohr magnetons per cell
E ... -3.2405 eV per atom
Formation energy without anion corrections ... -5.494 eV per formula unit
Crystal system ... trigonal
SG ... R3 (146)

---

# 5
A relaxed structure of MnV2PbI, computed with PBE.

a b c (Å): 4.594 4.594 4.937
angles (deg): 90.00 90.00 90.00
Positions (direct):
Mn1 0.000 0.000 0.000
V1 0.000 0.500 0.000
V2 0.500 0.000 0.000
Pb1 0.500 0.500 0.500
I1 0.000 0.000 0.500

Properties
Size of the total moment ... 0.00 Bohr magnetons per cell
E ... -5.3788 eV per atom
Formation energy without anion corrections ... 5.771 eV per formula unit
Crystal system ... tetragonal
SG ... P4/mmm (123)
DOS(E_F) ... 9.950 states/eV per cell

---

# 6
A relaxed structure of MnPdI2, computed with PBE.

a b c (Å): 8.753 8.753 8.753
angles (deg): 27.26 27.26 27.26
Positions (direct):
Mn1 0.000 0.000 0.000
Pd1 0.500 0.500 0.500
I1 0.398 0.398 0.398
I2 0.602 0.602 0.602

Properties
Size of the total moment ... 4.95 Bohr magnetons per cell
E ... -4.2854 eV per atom
Formation energy without anion corrections ... 0.321 eV per formula unit
Energy relative to the lowest polymorph listed for this composition ... 0.088 eV per atom
Crystal system ... trigonal
SG ... R-3m (166)
DOS(E_F) ... 1.025 states/eV per cell

---

# 7
A relaxed structure of MnPdI5, computed with PBE.

a b c (Å): 7.202 7.202 10.959
angles (deg): 107.04 107.04 80.01
Positions (direct):
Mn1 0.000 0.500 0.000
Mn2 0.500 0.000 0.500
Pd1 0.045 0.955 0.750
Pd2 0.955 0.045 0.250
I1 0.171 0.255 0.470
I2 0.177 0.619 0.850
I3 0.245 0.755 0.250
I4 0.255 0.171 0.970
I5 0.381 0.823 0.650
I6 0.619 0.177 0.350
I7 0.745 0.829 0.030
I8 0.755 0.245 0.750
I9 0.823 0.381 0.150
I10 0.829 0.745 0.530

Properties
Size of the total moment ... 8.56 Bohr magnetons per cell
E ... -3.3594 eV per atom
Formation energy without anion corrections ... -1.403 eV per formula unit
Crystal system ... monoclinic
SG ... C2/c (15)
DOS(E_F) ... 9.371 states/eV per cell

---

# 8
A relaxed structure of MnPd2I, computed with PBE.

a b c (Å): 5.988 5.988 5.988
angles (deg): 102.52 102.52 124.51
Positions (direct):
Mn1 0.000 0.000 0.000
Mn2 0.750 0.250 0.500
Pd1 0.105 0.625 0.980
Pd2 0.375 0.355 0.480
Pd3 0.645 0.125 0.020
Pd4 0.875 0.895 0.520
I1 0.250 0.750 0.500
I2 0.500 0.500 0.000

Properties
Size of the total moment ... 8.46 Bohr magnetons per cell
E ... -5.0045 eV per atom
Formation energy without anion corrections ... 1.088 eV per formula unit
Energy relative to the lowest polymorph listed for this composition ... 0.048 eV per atom
Crystal system ... tetragonal
SG ... I-42d (122)
DOS(E_F) ... 3.883 states/eV per cell